No. 1
{"formula": "CrNi3", "functional": "PBEsol", "state": "optimized geometry", "lattice_angstrom": [[4.217, 0.000, 0.000], [0.000, 4.967, 0.000], [0.000, 0.000, 8.031]], "species": ["Cr", "Cr", "Cr", "Cr", "Ni", "Ni", "Ni", "Ni", "Ni", "Ni", "Ni", "Ni", "Ni", "Ni", "Ni", "Ni"], "fractional_positions": [[0.916, 0.380, 0.250], [0.416, 0.120, 0.250], [0.584, 0.880, 0.750], [0.084, 0.620, 0.750], [0.248, 0.375, 0.002], [0.248, 0.375, 0.498], [0.752, 0.625, 0.502], [0.252, 0.875, 0.998], [0.252, 0.875, 0.502], [0.748, 0.125, 0.498], [0.588, 0.376, 0.750], [0.912, 0.876, 0.250], [0.412, 0.624, 0.250], [0.752, 0.625, 0.998], [0.088, 0.124, 0.750], [0.748, 0.125, 0.002]], "spacegroup": "Pnma"}

No. 2
{"formula": "Li2CaIn", "functional": "PBEsol", "state": "optimized geometry", "lattice_angstrom": [[-0.957, 1.074, -4.911], [0.730, -3.573, -3.590], [-4.019, -2.127, -2.348]], "species": ["Li", "Li", "Ca", "In"], "fractional_positions": [[0.750, 0.750, 0.750], [0.000, 0.000, 0.000], [0.500, 0.500, 0.500], [0.250, 0.250, 0.250]], "spacegroup": "F-43m"}

Final energy: -7.11; -2.49 (eV per atom)
ΔE_f: 0.065; -0.228 (eV/atom)